# 1
# Dy3Er2In2 | Alexandria | PBE | relaxed
# * calculated volume: 28.35 Å³/atom
# * final energy: -4.22 eV/atom
data_Dy3Er2In2
_cell_length_a 11.938
_cell_length_b 11.938
_cell_length_c 3.438
_cell_angle_alpha 90.00
_cell_angle_beta 90.00
_cell_angle_gamma 156.11
_symmetry_space_group_name_H-M 'P 1'
_symmetry_Int_Tables_number 1
loop_
_symmetry_equiv_pos_as_xyz
'x,y,z'
loop_
_atom_site_label
_atom_site_fract_x
_atom_site_fract_y
_atom_site_fract_z
Dy1 0.000 0.000 0.000
Dy2 0.144 0.856 0.000
Dy3 0.856 0.144 0.000
Er1 0.286 0.714 0.500
Er2 0.714 0.286 0.500
In1 0.429 0.571 0.500
In2 0.571 0.429 0.500



# 2
# Y3ErTl | Alexandria | PBE | relaxed
# * calculated volume: 30.20 Å³/atom
# * final energy: -5.41 eV/atom
data_Y3ErTl
_cell_length_a 6.529
_cell_length_b 6.599
_cell_length_c 8.599
_cell_angle_alpha 69.59
_cell_angle_beta 75.62
_cell_angle_gamma 60.89
_symmetry_space_group_name_H-M 'P 1'
_symmetry_Int_Tables_number 1
loop_
_symmetry_equiv_pos_as_xyz
'x,y,z'
loop_
_atom_site_label
_atom_site_fract_x
_atom_site_fract_y
_atom_site_fract_z
Y1 0.021 0.235 0.362
Y2 0.150 0.737 0.200
Y3 0.436 0.253 0.570
Y4 0.564 0.747 0.430
Y5 0.850 0.263 0.800
Y6 0.979 0.765 0.638
Er1 0.283 0.291 0.973
Er2 0.717 0.709 0.027
Tl1 0.356 0.792 0.801
Tl2 0.644 0.208 0.199



# 3
# PrGdCoIr | Alexandria | PBE | relaxed
# * calculated volume: 21.22 Å³/atom
# * final energy: -9.04 eV/atom
data_PrGdCoIr
_cell_length_a 4.933
_cell_length_b 4.933
_cell_length_c 4.933
_cell_angle_alpha 60.00
_cell_angle_beta 60.00
_cell_angle_gamma 60.00
_symmetry_space_group_name_H-M 'P 1'
_symmetry_Int_Tables_number 1
loop_
_symmetry_equiv_pos_as_xyz
'x,y,z'
loop_
_atom_site_label
_atom_site_fract_x
_atom_site_fract_y
_atom_site_fract_z
Pr1 0.000 0.000 0.000
Gd1 0.500 0.500 0.500
Co1 0.750 0.750 0.750
Ir1 0.250 0.250 0.250



# 4
# SrSeS2N | Alexandria | PBE | relaxed
# * calculated volume: 27.33 Å³/atom
# * E_form (uncorrected): 1.348 eV per atom
# * final energy: -3.00 eV/atom
data_SrSeS2N
_cell_length_a 5.586
_cell_length_b 5.586
_cell_length_c 4.378
_cell_angle_alpha 90.00
_cell_angle_beta 90.00
_cell_angle_gamma 90.00
_symmetry_space_group_name_H-M 'P 1'
_symmetry_Int_Tables_number 1
loop_
_symmetry_equiv_pos_as_xyz
'x,y,z'
loop_
_atom_site_label
_atom_site_fract_x
_atom_site_fract_y
_atom_site_fract_z
Sr1 0.000 0.000 0.000
Se1 0.500 0.500 0.500
S1 0.000 0.500 0.000
S2 0.500 0.000 0.000
N1 0.000 0.000 0.500



# 5
# BaSc2Se2 | Alexandria | PBE | relaxed
# * calculated volume: 26.00 Å³/atom
# * E_form (uncorrected): -1.251 eV per atom
# * final energy: -5.56 eV/atom
data_BaSc2Se2
_cell_length_a 7.728
_cell_length_b 7.728
_cell_length_c 7.728
_cell_angle_alpha 147.88
_cell_angle_beta 147.88
_cell_angle_gamma 46.06
_symmetry_space_group_name_H-M 'P 1'
_symmetry_Int_Tables_number 1
loop_
_symmetry_equiv_pos_as_xyz
'x,y,z'
loop_
_atom_site_label
_atom_site_fract_x
_atom_site_fract_y
_atom_site_fract_z
Ba1 0.000 0.000 0.000
Sc1 0.250 0.750 0.500
Sc2 0.750 0.250 0.500
Se1 0.375 0.375 0.000
Se2 0.625 0.625 0.000



# 6
# Mg2HIrPb | Alexandria | PBE | relaxed
# * calculated volume: 16.21 Å³/atom
# * final energy: -3.91 eV/atom
data_Mg2HIrPb
_cell_length_a 4.763
_cell_length_b 4.763
_cell_length_c 3.573
_cell_angle_alpha 90.00
_cell_angle_beta 90.00
_cell_angle_gamma 90.00
_symmetry_space_group_name_H-M 'P 1'
_symmetry_Int_Tables_number 1
loop_
_symmetry_equiv_pos_as_xyz
'x,y,z'
loop_
_atom_site_label
_atom_site_fract_x
_atom_site_fract_y
_atom_site_fract_z
Mg1 0.000 0.500 0.000
Mg2 0.500 0.000 0.000
H1 0.000 0.000 0.000
Ir1 0.000 0.000 0.500
Pb1 0.500 0.500 0.500



# 7
# Ac2Nd4Sn3O2 | Alexandria | PBE | relaxed
# * calculated volume: 29.16 Å³/atom
# * E_form (uncorrected): -1.491 eV per atom
# * final energy: -5.96 eV/atom
data_Ac2Nd4Sn3O2
_cell_length_a 13.767
_cell_length_b 13.767
_cell_length_c 13.767
_cell_angle_alpha 159.47
_cell_angle_beta 159.47
_cell_angle_gamma 29.19
_symmetry_space_group_name_H-M 'P 1'
_symmetry_Int_Tables_number 1
loop_
_symmetry_equiv_pos_as_xyz
'x,y,z'
loop_
_atom_site_label
_atom_site_fract_x
_atom_site_fract_y
_atom_site_fract_z
Ac1 0.193 0.193 0.000
Ac2 0.807 0.807 0.000
Nd1 0.080 0.580 0.500
Nd2 0.420 0.920 0.500
Nd3 0.580 0.080 0.500
Nd4 0.920 0.420 0.500
Sn1 0.328 0.328 0.000
Sn2 0.500 0.500 0.000
Sn3 0.672 0.672 0.000
O1 0.097 0.097 0.000
O2 0.903 0.903 0.000



# 8
# La3Ce3DyTe8 | Alexandria | PBE | relaxed
# * calculated volume: 34.86 Å³/atom
# * E_form (uncorrected): -1.476 eV per atom
# * final energy: -5.63 eV/atom
data_La3Ce3DyTe8
_cell_length_a 9.025
_cell_length_b 9.025
_cell_length_c 9.083
_cell_angle_alpha 119.94
_cell_angle_beta 119.94
_cell_angle_gamma 59.84
_symmetry_space_group_name_H-M 'P 1'
_symmetry_Int_Tables_number 1
loop_
_symmetry_equiv_pos_as_xyz
'x,y,z'
loop_
_atom_site_label
_atom_site_fract_x
_atom_site_fract_y
_atom_site_fract_z
La1 0.000 0.000 0.000
La2 0.000 0.500 0.000
La3 0.500 0.000 0.000
Ce1 0.000 0.500 0.500
Ce2 0.500 0.000 0.500
Ce3 0.500 0.500 0.500
Dy1 0.000 0.000 0.500
Te1 0.247 0.247 0.743
Te2 0.247 0.750 0.743
Te3 0.250 0.753 0.257
Te4 0.252 0.252 0.255
Te5 0.748 0.748 0.745
Te6 0.750 0.247 0.743
Te7 0.753 0.250 0.257
Te8 0.753 0.753 0.257



# 9
# Mg4AlCr | Alexandria | PBE | relaxed
# * calculated volume: 21.20 Å³/atom
# * final energy: -2.92 eV/atom
data_Mg4AlCr
_cell_length_a 5.645
_cell_length_b 5.645
_cell_length_c 5.645
_cell_angle_alpha 60.00
_cell_angle_beta 60.00
_cell_angle_gamma 60.00
_symmetry_space_group_name_H-M 'P 1'
_symmetry_Int_Tables_number 1
loop_
_symmetry_equiv_pos_as_xyz
'x,y,z'
loop_
_atom_site_label
_atom_site_fract_x
_atom_site_fract_y
_atom_site_fract_z
Mg1 0.125 0.125 0.125
Mg2 0.125 0.125 0.624
Mg3 0.125 0.624 0.125
Mg4 0.624 0.125 0.125
Al1 0.750 0.750 0.750
Cr1 0.500 0.500 0.500



# 10
# TaTi3Sb | Alexandria | PBE | relaxed
# * calculated volume: 18.49 Å³/atom
# * E_form (uncorrected): -0.180 eV per atom
# * final energy: -8.11 eV/atom
data_TaTi3Sb
_cell_length_a 5.644
_cell_length_b 5.644
_cell_length_c 9.571
_cell_angle_alpha 91.55
_cell_angle_beta 91.55
_cell_angle_gamma 37.35
_symmetry_space_group_name_H-M 'P 1'
_symmetry_Int_Tables_number 1
loop_
_symmetry_equiv_pos_as_xyz
'x,y,z'
loop_
_atom_site_label
_atom_site_fract_x
_atom_site_fract_y
_atom_site_fract_z
Ta1 0.150 0.150 0.451
Ta2 0.850 0.850 0.549
Ti1 0.064 0.064 0.152
Ti2 0.249 0.249 0.739
Ti3 0.459 0.459 0.360
Ti4 0.541 0.541 0.640
Ti5 0.751 0.751 0.261
Ti6 0.936 0.936 0.848
Sb1 0.366 0.366 0.071
Sb2 0.634 0.634 0.929



What did the eighth record say?
# La3Ce3DyTe8 | Alexandria | PBE | relaxed
# * calculated volume: 34.86 Å³/atom
# * E_form (uncorrected): -1.476 eV per atom
# * final energy: -5.63 eV/atom
data_La3Ce3DyTe8
_cell_length_a 9.025
_cell_length_b 9.025
_cell_length_c 9.083
_cell_angle_alpha 119.94
_cell_angle_beta 119.94
_cell_angle_gamma 59.84
_symmetry_space_group_name_H-M 'P 1'
_symmetry_Int_Tables_number 1
loop_
_symmetry_equiv_pos_as_xyz
'x,y,z'
loop_
_atom_site_label
_atom_site_fract_x
_atom_site_fract_y
_atom_site_fract_z
La1 0.000 0.000 0.000
La2 0.000 0.500 0.000
La3 0.500 0.000 0.000
Ce1 0.000 0.500 0.500
Ce2 0.500 0.000 0.500
Ce3 0.500 0.500 0.500
Dy1 0.000 0.000 0.500
Te1 0.247 0.247 0.743
Te2 0.247 0.750 0.743
Te3 0.250 0.753 0.257
Te4 0.252 0.252 0.255
Te5 0.748 0.748 0.745
Te6 0.750 0.247 0.743
Te7 0.753 0.250 0.257
Te8 0.753 0.753 0.257



Question: Number 2 is which compound?
Answer: Y3ErTl